1.
Below is a relaxed structure of PS2BrCl, with properties calculated at the GGA-PBE level.

Cell lengths 4.9281, 4.9281, 5.0427 Å; angles 90.00, 90.00, 90.00 degrees
Closest atoms and distances in Å follow each position.
Sites, in units of the cell vectors:
S1 0.5000 0.0000 0.0000  2 Br 2.46
S2 0.0000 0.5000 0.0000  2 Br 2.46
Br1 0.0000 0.0000 0.0000  4 S 2.46, 2 Cl 2.52
P1 0.5000 0.5000 0.5000  4 Cl 3.48, 8 S 3.53
Cl1 0.0000 0.0000 0.5000  2 Br 2.52

The value obtained for the formation energy without anion corrections is 1.33 eV/atom. For the total energy, the calculation gives -2.111 eV per atom. The density of states at the Fermi level is 3.1 states/eV/f.u. Its distance to the lowest polymorph of the same formula is 0.8028 eV/atom. The crystal system is tetragonal. For the theoretical density, the calculation gives 2.85 g cm⁻³.

2.
Below is a relaxed structure of BeHg2, with properties calculated at the GGA-PBE level.

Cell lengths 6.6180, 6.6180, 6.4860 Å; angles 83.32, 83.32, 25.44 degrees
Closest atoms and distances in Å follow each position.
Sites, in units of the cell vectors:
Be1 0.9935 0.9935 0.0230  2 Be 2.27
Be2 0.4440 0.4440 0.2854  2 Be 2.27, 3 Hg 2.48-2.50
Hg1 0.6389 0.6389 0.2598  1 Be 2.50
Hg2 0.8472 0.8472 0.5508  2 Be 2.48
Hg3 0.3242 0.3242 0.9843  3 Be 2.63-2.66, 2 Hg 2.91
Hg4 0.5854 0.5854 0.7299  2 Be 2.57

For the total energy, the calculation gives -1.102 eV per atom. The density of states at the Fermi level is 0.8 states/eV/f.u. Its distance to the lowest polymorph of the same formula is 0.0383 eV/atom. The crystal system is monoclinic. For the energy of formation, the calculation gives 341 meV per atom. For the theoretical density, the calculation gives 11.25 g cm⁻³.

3.
Below is a relaxed structure of AlVNiAu, with properties calculated at the GGA-PBE level.

Cell lengths 4.3369, 4.3369, 4.3369 Å; angles 60.00, 60.00, 60.00 degrees
Closest atoms and distances in Å follow each position.
Sites, in units of the cell vectors:
V1 0.5000 0.5000 0.5000  4 Au 2.66, 4 Ni 2.66
Al1 0.0000 0.0000 0.0000  4 Ni 2.66, 4 Au 2.66
Au1 0.7500 0.7500 0.7500  4 V 2.66, 4 Al 2.66
Ni1 0.2500 0.2500 0.2500  4 V 2.66, 4 Al 2.66

For the total energy, the calculation gives -5.643 eV per atom. The density of states at the Fermi level is 5.8 states/eV/f.u. The crystal system is cubic. For the energy of formation, the calculation gives -163 meV per atom. For the theoretical density, the calculation gives 9.60 g cm⁻³.

4.
Below is a relaxed structure of Nd5SmY5, with properties calculated at the GGA-PBE level.

Cell lengths 6.1023, 9.8451, 7.0227 Å; angles 107.41, 90.00, 108.05 degrees
Closest atoms and distances in Å follow each position.
Sites, in units of the cell vectors:
Nd1 0.6720 0.3439 0.1914  5 Y 3.07-3.42
Nd2 0.3739 0.7478 0.3527  4 Nd 3.57-3.80, 6 Y 3.57-3.92
Nd3 0.3280 0.6561 0.8086  5 Y 3.07-3.42
Nd4 0.0000 0.0000 0.5000  2 Sm 3.51, 4 Y 3.57-3.65, 4 Nd 3.80
Nd5 0.6261 0.2522 0.6473  4 Nd 3.57-3.80, 6 Y 3.57-3.92
Sm1 0.0000 0.0000 0.0000  2 Y 3.05
Y1 0.5000 0.0000 0.0000  2 Sm 3.05, 2 Nd 3.07
Y2 0.1785 0.3571 0.4168  4 Nd 3.25-3.57, 2 Y 3.46-3.57
Y3 0.8258 0.6516 0.0787  5 Nd 3.22-3.60, 2 Y 3.46-3.57, 1 Sm 3.48
Y4 0.8215 0.6429 0.5832  4 Nd 3.25-3.57, 2 Y 3.46-3.57
Y5 0.1742 0.3484 0.9213  5 Nd 3.22-3.60, 2 Y 3.46-3.57, 1 Sm 3.48

For the total energy, the calculation gives -5.279 eV per atom. The density of states at the Fermi level is 19.6 states/eV/f.u. Its distance to the lowest polymorph of the same formula is 0.1187 eV/atom. The crystal system is monoclinic. For the energy of formation, the calculation gives 256 meV per atom. For the theoretical density, the calculation gives 5.74 g cm⁻³.

5.
Below is a relaxed structure of ZrCr2Br, with properties calculated at the GGA-PBE level.

Cell lengths 5.5538, 5.5538, 4.9340 Å; angles 64.09, 64.09, 33.15 degrees
Closest atoms and distances in Å follow each position.
Sites, in units of the cell vectors:
Br1 0.2500 0.2500 0.2500  4 Cr 2.79, 4 Zr 2.93
Cr1 0.5073 0.5073 0.4931  2 Br 2.79, 2 Zr 2.91, 4 Cr 2.93-2.94
Cr2 0.9927 0.9927 0.0069  2 Br 2.79, 2 Zr 2.91, 4 Cr 2.93-2.94
Zr1 0.7500 0.7500 0.7500  4 Cr 2.91, 4 Br 2.93, 2 Zr 3.17

The value obtained for the formation energy without anion corrections is 0.54 eV/atom. For the total energy, the calculation gives -6.827 eV per atom. The density of states at the Fermi level is 4.3 states/eV/f.u. Its distance to the lowest polymorph of the same formula is 0.4696 eV/atom. The crystal system is monoclinic. For the theoretical density, the calculation gives 6.17 g cm⁻³.

6.
Below is a relaxed structure of SmTmCdRu, with properties calculated at the GGA-PBE level.

Cell lengths 3.4732, 3.4732, 7.7197 Å; angles 90.00, 90.00, 90.00 degrees
Closest atoms and distances in Å follow each position.
Sites, in units of the cell vectors:
Sm1 0.5000 0.5000 0.7860  4 Ru 3.02, 1 Tm 3.32, 4 Cd 3.36
Ru1 0.0000 0.0000 0.5594  4 Tm 2.92, 4 Sm 3.02
Cd1 0.0000 0.0000 0.0840  4 Tm 3.23, 4 Sm 3.36, 4 Cd 3.47
Tm1 0.5000 0.5000 0.3553  4 Ru 2.92, 4 Cd 3.23

For the total energy, the calculation gives -5.222 eV per atom. The density of states at the Fermi level is 3.4 states/eV/f.u. Its distance to the lowest polymorph of the same formula is 0.0000 eV/atom. The crystal system is tetragonal. For the energy of formation, the calculation gives -377 meV per atom. For the theoretical density, the calculation gives 9.50 g cm⁻³.